(1)
Entry from the Alexandria database: crystalline CePuAgIr at its relaxed geometry (PBE-GGA).

abc: 7.1094 7.1094 7.1094
angles: 90.00 90.00 90.00
Space group F-43m (No. 216)
Unique sites:
Ce1 0.0000 0.0000 0.0000 (multiplicity 4)
Pu1 0.0000 0.0000 0.5000 (multiplicity 4)
Ag1 0.2500 0.2500 0.2500 (multiplicity 4)
Ir1 0.2500 0.2500 0.7500 (multiplicity 4)

Properties
Energy in eV/atom: -8.277
DFT formation energy in eV per atom: -0.2825
Crystal system: cubic

(2)
Entry from the Alexandria database: crystalline Ac2PuGe at its relaxed geometry (PBE-GGA).

abc: 4.0382 4.0382 8.1825
angles: 90.00 90.00 90.00
Space group P4/mmm (No. 123)
Unique sites:
Ac1 0.0000 0.0000 0.2097 (multiplicity 2)
Pu1 0.5000 0.5000 0.5000 (multiplicity 1)
Ge1 0.5000 0.5000 0.0000 (multiplicity 1)

Properties
Energy in eV/atom: -6.902
DFT formation energy in eV per atom: -0.1100
ΔE to the lowest computed polymorph in eV per formula unit: 0.00
Crystal system: tetragonal

(3)
Entry from the Alexandria database: crystalline KCu7F12 at its relaxed geometry (PBE-GGA).

abc: 7.8801 7.8801 7.8801
angles: 90.00 90.00 90.00
Space group Im-3 (No. 204)
Unique sites:
K1 0.0000 0.0000 0.0000 (multiplicity 2)
Cu1 0.0000 0.0000 0.5000 (multiplicity 6)
Cu2 0.2500 0.2500 0.2500 (multiplicity 8)
F1 0.0000 0.1751 0.3154 (multiplicity 24)

Properties
Energy in eV/atom: -4.158
Uncorrected formation energy in eV/atom: -1.547
Crystal system: cubic

(4)
Entry from the Alexandria database: crystalline SrLaSc2Ru at its relaxed geometry (PBE-GGA).

abc: 5.2806 5.2806 5.4646
angles: 90.00 90.00 90.00
Space group P4/mmm (No. 123)
Unique sites:
Sr1 0.0000 0.0000 0.0000 (multiplicity 1)
La1 0.5000 0.5000 0.0000 (multiplicity 1)
Sc1 0.0000 0.5000 0.5000 (multiplicity 2)
Ru1 0.5000 0.5000 0.5000 (multiplicity 1)

Properties
Energy in eV/atom: -5.820
DFT formation energy in eV per atom: -0.1101
Crystal system: tetragonal

(5)
Entry from the Alexandria database: crystalline MnSbRu2 at its relaxed geometry (PBE-GGA).

abc: 8.5646 2.9880 4.9546
angles: 90.00 101.64 90.00
Space group C2/m (No. 12)
Unique sites:
Mn1 0.0000 0.0000 0.0000 (multiplicity 2)
Sb1 0.0000 0.5000 0.5000 (multiplicity 2)
Ru1 0.2447 0.5000 0.2271 (multiplicity 4)

Properties
Energy in eV/atom: -7.857
Uncorrected formation energy in eV/atom: 0.103
Crystal system: monoclinic

(6)
Entry from the Alexandria database: crystalline LaTbSm at its relaxed geometry (PBE-GGA).

abc: 3.6593 5.1555 10.9118
angles: 90.00 90.00 90.00
Space group Imm2 (No. 44)
Unique sites:
La1 0.0000 0.0000 0.0000 (multiplicity 2)
Tb1 0.0000 0.0000 0.6683 (multiplicity 2)
Sm1 0.0000 0.0000 0.3318 (multiplicity 2)

Properties
Energy in eV/atom: -4.736
DFT formation energy in eV per atom: 0.0229
ΔE to the lowest computed polymorph in eV per formula unit: 0.01
Crystal system: orthorhombic

(7)
Entry from the Alexandria database: crystalline BaSi2As at its relaxed geometry (PBE-GGA).

abc: 4.3904 4.9500 5.0861
angles: 90.00 90.00 90.00
Space group Pmm2 (No. 25)
Unique sites:
Ba1 0.0000 0.0000 0.0000 (multiplicity 1)
Si1 0.0000 0.5000 0.5071 (multiplicity 1)
Si2 0.5000 0.5000 0.2942 (multiplicity 1)
As1 0.5000 0.5000 0.8207 (multiplicity 1)

Properties
Energy in eV/atom: -4.527
Uncorrected formation energy in eV/atom: -0.173
Crystal system: orthorhombic

(8)
Entry from the Alexandria database: crystalline CaMnMo at its relaxed geometry (PBE-GGA).

abc: 6.3334 6.3334 6.3334
angles: 90.00 90.00 90.00
Space group F-43m (No. 216)
Unique sites:
Ca1 0.0000 0.0000 0.0000 (multiplicity 4)
Mn1 0.2500 0.2500 0.2500 (multiplicity 4)
Mo1 0.0000 0.0000 0.5000 (multiplicity 4)

Properties
Energy in eV/atom: -6.307
DFT formation energy in eV per atom: 1.0274
ΔE to the lowest computed polymorph in eV per formula unit: 1.73
Crystal system: cubic

(9)
Entry from the Alexandria database: crystalline ZnCrHPt2 at its relaxed geometry (PBE-GGA).

abc: 4.0198 4.0198 3.8802
angles: 90.00 90.00 90.00
Space group P4/mmm (No. 123)
Unique sites:
Zn1 0.0000 0.0000 0.0000 (multiplicity 1)
Cr1 0.5000 0.5000 0.0000 (multiplicity 1)
H1 0.5000 0.5000 0.5000 (multiplicity 1)
Pt1 0.0000 0.5000 0.5000 (multiplicity 2)

Properties
Energy in eV/atom: -5.455
Crystal system: tetragonal

(10)
Entry from the Alexandria database: crystalline Bi2Mo2N at its relaxed geometry (PBE-GGA).

abc: 6.8126 6.8126 4.7381
angles: 90.00 90.00 90.00
Space group P4/mbm (No. 127)
Unique sites:
Bi1 0.1946 0.3054 0.0000 (multiplicity 4)
Mo1 0.1124 0.6124 0.5000 (multiplicity 4)
N1 0.0000 0.0000 0.0000 (multiplicity 2)

Properties
Energy in eV/atom: -6.066
Uncorrected formation energy in eV/atom: 1.484
ΔE to the lowest computed polymorph in eV per formula unit: 1.49
Crystal system: tetragonal

(11)
Entry from the Alexandria database: crystalline PrSmEr2In4 at its relaxed geometry (PBE-GGA).

abc: 5.3717 5.3717 26.3802
angles: 90.00 90.00 120.00
Space group R-3m (No. 166, hexagonal axes)
Unique sites:
Pr1 0.0000 0.0000 0.0000 (multiplicity 3)
Sm1 0.0000 0.0000 0.5000 (multiplicity 3)
Er1 0.0000 0.0000 0.2499 (multiplicity 6)
In1 0.0000 0.0000 0.1259 (multiplicity 6)
In2 0.0000 0.0000 0.3759 (multiplicity 6)

Properties
Energy in eV/atom: -4.160
DFT formation energy in eV per atom: -0.4631
Crystal system: trigonal

(12)
Entry from the Alexandria database: crystalline MgUGePt at its relaxed geometry (PBE-GGA).

abc: 6.8107 6.8107 6.8107
angles: 90.00 90.00 90.00
Space group F-43m (No. 216)
Unique sites:
Mg1 0.0000 0.0000 0.0000 (multiplicity 4)
U1 0.0000 0.0000 0.5000 (multiplicity 4)
Ge1 0.2500 0.2500 0.2500 (multiplicity 4)
Pt1 0.2500 0.2500 0.7500 (multiplicity 4)

Properties
Energy in eV/atom: -6.317
DFT formation energy in eV per atom: -0.4316
Crystal system: cubic

(13)
Entry from the Alexandria database: crystalline SmNpSc2S4 at its relaxed geometry (PBE-GGA).

abc: 6.6343 3.8050 6.6488
angles: 90.00 109.06 90.00
Space group P2/m (No. 10)
Unique sites:
Sm1 0.0000 0.0000 0.0000 (multiplicity 1)
Np1 0.5000 0.5000 0.0000 (multiplicity 1)
Sc1 0.0000 0.5000 0.5000 (multiplicity 1)
Sc2 0.5000 0.0000 0.5000 (multiplicity 1)
S1 0.2468 0.0000 0.7308 (multiplicity 2)
S2 0.2605 0.5000 0.2725 (multiplicity 2)

Properties
Energy in eV/atom: -7.624
Uncorrected formation energy in eV/atom: -1.770
Crystal system: monoclinic

(14)
Entry from the Alexandria database: crystalline Sr2PaBi5 at its relaxed geometry (PBE-GGA).

abc: 8.4660 8.4660 7.0924
angles: 90.00 90.00 90.00
Space group I4/mmm (No. 139)
Unique sites:
Sr1 0.0000 0.5000 0.0000 (multiplicity 4)
Pa1 0.0000 0.0000 0.0000 (multiplicity 2)
Bi1 0.0000 0.0000 0.5000 (multiplicity 2)
Bi2 0.2500 0.2500 0.2500 (multiplicity 8)

Properties
Energy in eV/atom: -4.425
DFT formation energy in eV per atom: -0.3917
Crystal system: tetragonal

(15)
Entry from the Alexandria database: crystalline Cs2Rb6Hg3 at its relaxed geometry (PBE-GGA).

abc: 11.6236 11.6236 6.6004
angles: 90.00 90.00 120.00
Space group P-62m (No. 189)
Unique sites:
Cs1 0.3333 0.6667 0.0000 (multiplicity 2)
Rb1 0.0000 0.2278 0.0000 (multiplicity 3)
Rb2 0.0000 0.6781 0.5000 (multiplicity 3)
Hg1 0.0000 0.3604 0.5000 (multiplicity 3)

Properties
Energy in eV/atom: -0.837
DFT formation energy in eV per atom: -0.0721
Crystal system: hexagonal

(16)
Entry from the Alexandria database: crystalline Mn2NbTc at its relaxed geometry (PBE-GGA).

abc: 4.2990 4.2990 3.0287
angles: 90.00 90.00 90.00
Space group P4/mmm (No. 123)
Unique sites:
Mn1 0.0000 0.5000 0.0000 (multiplicity 2)
Nb1 0.0000 0.0000 0.5000 (multiplicity 1)
Tc1 0.5000 0.5000 0.5000 (multiplicity 1)

Properties
Energy in eV/atom: -9.633
DFT formation energy in eV per atom: 0.0605
ΔE to the lowest computed polymorph in eV per formula unit: 0.00
Crystal system: tetragonal

(17)
Entry from the Alexandria database: crystalline Tb2ZnOs at its relaxed geometry (PBE-GGA).

abc: 4.0115 4.0115 28.2627
angles: 90.00 90.00 120.00
Space group R-3m (No. 166, hexagonal axes)
Unique sites:
Tb1 0.0000 0.0000 0.1145 (multiplicity 6)
Zn1 0.0000 0.0000 0.0000 (multiplicity 3)
Os1 0.0000 0.0000 0.5000 (multiplicity 3)

Properties
Energy in eV/atom: -5.170
DFT formation energy in eV per atom: 0.2712
Crystal system: trigonal

(18)
Entry from the Alexandria database: crystalline SrZrPb2 at its relaxed geometry (PBE-GGA).

abc: 4.3868 5.0829 5.1743
angles: 90.00 90.00 90.00
Space group Pmmm (No. 47)
Unique sites:
Sr1 0.0000 0.0000 0.0000 (multiplicity 1)
Zr1 0.0000 0.5000 0.5000 (multiplicity 1)
Pb1 0.5000 0.0000 0.5000 (multiplicity 1)
Pb2 0.5000 0.5000 0.0000 (multiplicity 1)

Properties
Energy in eV/atom: -4.469
DFT formation energy in eV per atom: -0.0573
Crystal system: orthorhombic

(19)
Entry from the Alexandria database: crystalline IrRuO at its relaxed geometry (PBE-GGA).

abc: 2.7361 2.7635 10.4993
angles: 90.00 90.00 90.00
Space group Amm2 (No. 38)
Unique sites:
Ir1 0.0000 0.0000 0.0000 (multiplicity 2)
Ru1 0.5000 0.0000 0.3289 (multiplicity 2)
O1 0.0000 0.0000 0.1897 (multiplicity 2)

Properties
Energy in eV/atom: -7.856
Uncorrected formation energy in eV/atom: -0.158
ΔE to the lowest computed polymorph in eV per formula unit: 0.30
Crystal system: orthorhombic

(20)
Entry from the Alexandria database: crystalline TbZnI at its relaxed geometry (PBE-GGA).

abc: 4.2652 4.2652 36.1874
angles: 90.00 90.00 120.00
Space group R-3m (No. 166, hexagonal axes)
Unique sites:
Tb1 0.0000 0.0000 0.0527 (multiplicity 6)
Zn1 0.0000 0.0000 0.3356 (multiplicity 6)
I1 0.0000 0.0000 0.2244 (multiplicity 6)

Properties
Energy in eV/atom: -3.306
Uncorrected formation energy in eV/atom: -0.822
Crystal system: trigonal

(21)
Entry from the Alexandria database: crystalline TcRu2Cl at its relaxed geometry (PBE-GGA).

abc: 4.5730 4.5730 2.8202
angles: 90.00 90.00 90.00
Space group P4/mmm (No. 123)
Unique sites:
Tc1 0.0000 0.0000 0.0000 (multiplicity 1)
Ru1 0.0000 0.5000 0.5000 (multiplicity 2)
Cl1 0.5000 0.5000 0.0000 (multiplicity 1)

Properties
Energy in eV/atom: -6.805
Uncorrected formation energy in eV/atom: 0.886
ΔE to the lowest computed polymorph in eV per formula unit: 2.25
Crystal system: tetragonal

(22)
Entry from the Alexandria database: crystalline ScV2GaSi at its relaxed geometry (PBE-GGA).

abc: 4.5290 4.5290 4.8541
angles: 90.00 90.00 90.00
Space group P4/mmm (No. 123)
Unique sites:
Sc1 0.0000 0.0000 0.0000 (multiplicity 1)
V1 0.0000 0.5000 0.0000 (multiplicity 2)
Ga1 0.5000 0.5000 0.5000 (multiplicity 1)
Si1 0.0000 0.0000 0.5000 (multiplicity 1)

Properties
Energy in eV/atom: -5.202
Uncorrected formation energy in eV/atom: 1.402
Crystal system: tetragonal

(23)
Entry from the Alexandria database: crystalline Pm3CdS at its relaxed geometry (PBE-GGA).

abc: 5.3540 5.3540 5.3540
angles: 90.00 90.00 90.00
Space group Pm-3m (No. 221)
Unique sites:
Pm1 0.0000 0.0000 0.5000 (multiplicity 3)
Cd1 0.5000 0.5000 0.5000 (multiplicity 1)
S1 0.0000 0.0000 0.0000 (multiplicity 1)

Properties
Energy in eV/atom: -4.639
Uncorrected formation energy in eV/atom: -0.780
Crystal system: cubic

(24)
Entry from the Alexandria database: crystalline Ti4MnCo at its relaxed geometry (PBE-GGA).

abc: 3.0193 3.0193 9.4449
angles: 90.00 90.00 90.00
Space group P4/mmm (No. 123)
Unique sites:
Ti1 0.0000 0.0000 0.1511 (multiplicity 2)
Ti2 0.5000 0.5000 0.3463 (multiplicity 2)
Mn1 0.5000 0.5000 0.0000 (multiplicity 1)
Co1 0.0000 0.0000 0.5000 (multiplicity 1)

Properties
Energy in eV/atom: -8.180
DFT formation energy in eV per atom: -0.2046
ΔE to the lowest computed polymorph in eV per formula unit: 0.00
Crystal system: tetragonal

(25)
Entry from the Alexandria database: crystalline CaBe2Ru at its relaxed geometry (PBE-GGA).

abc: 6.1125 6.1125 6.1125
angles: 90.00 90.00 90.00
Space group Fm-3m (No. 225)
Unique sites:
Ca1 0.0000 0.0000 0.0000 (multiplicity 4)
Be1 0.2500 0.2500 0.2500 (multiplicity 8)
Ru1 0.0000 0.0000 0.5000 (multiplicity 4)

Properties
Energy in eV/atom: -4.392
DFT formation energy in eV per atom: 0.2908
ΔE to the lowest computed polymorph in eV per formula unit: 1.69
Crystal system: cubic

(26)
Entry from the Alexandria database: crystalline HgP2BrCl at its relaxed geometry (PBE-GGA).

abc: 5.1370 5.1370 5.1360
angles: 90.00 90.00 90.00
Space group P4/mmm (No. 123)
Unique sites:
Hg1 0.0000 0.0000 0.0000 (multiplicity 1)
P1 0.0000 0.5000 0.0000 (multiplicity 2)
Br1 0.5000 0.5000 0.5000 (multiplicity 1)
Cl1 0.0000 0.0000 0.5000 (multiplicity 1)

Properties
Energy in eV/atom: -1.974
Uncorrected formation energy in eV/atom: 0.954
ΔE to the lowest computed polymorph in eV per formula unit: 0.00
Crystal system: tetragonal

(27)
Entry from the Alexandria database: crystalline CeAsHRh2 at its relaxed geometry (PBE-GGA).

abc: 4.0539 10.7808 7.0510
angles: 90.00 90.00 90.00
Space group Cmcm (No. 63)
Unique sites:
Ce1 0.0000 0.0689 0.2500 (multiplicity 4)
As1 0.0000 0.2118 0.7500 (multiplicity 4)
H1 0.0000 0.5000 0.0000 (multiplicity 4)
Rh1 0.0000 0.3405 0.0473 (multiplicity 8)

Properties
Energy in eV/atom: -6.494
Crystal system: orthorhombic